The following is a PBE calculation of a relaxed Y2LuNi crystal, from Alexandria.

Unit cell a=3.5690 b=3.5690 c=30.7357 alpha=90.00 beta=90.00 gamma=120.00
Space group R-3m (No. 166, hexagonal axes)
One atom of each set of equivalent atoms:
Y1 0.0000 0.0000 0.1095 (multiplicity 6)
Lu1 0.0000 0.0000 0.0000 (multiplicity 3)
Ni1 0.0000 0.0000 0.5000 (multiplicity 3)

Energy relative to the elements   120 meV/atom